TeOsPt after structural relaxation, computed with PBE.

Cell lengths 4.283, 4.283, 3.470 Å; angles 90.00, 90.00, 120.00 degrees
Element x y z (fractional)
Te (0.333, 0.667, 0.734)
Os (0.000, 0.000, 0.907)
Pt (0.667, 0.333, 0.359)

## Properties
Energy relative to the lowest polymorph listed for this composition, kJ/mol of atoms: 21.15
Formation energy (no corrections), eV per atom: 0.5948

SrBe2Pt after structural relaxation, computed with PBE.

Cell lengths 3.133, 3.133, 6.821 Å; angles 90.00, 90.00, 89.98 degrees
Element x y z (fractional)
Be (0.000, 0.000, 0.409)
Sr (0.500, 0.500, 0.750)
Pt (0.500, 0.500, 0.250)
Be (0.000, 0.000, 0.091)

## Properties
Formation enthalpy at 0 K, kJ/mol of formula units: -31
Energy relative to the lowest polymorph listed for this composition, kJ/mol of atoms: 41.03

PmBeH8Ir2 after structural relaxation, computed with PBE.

Cell lengths 4.172, 4.373, 6.458 Å; angles 70.82, 71.15, 61.51 degrees
Element x y z (fractional)
Be (0.000, 0.000, 0.000)
H (0.926, 0.974, 0.697)
H (0.074, 0.026, 0.303)
H (0.064, 0.568, 0.305)
Pm (0.500, 0.500, 0.500)
H (0.739, 0.411, 0.111)
H (0.597, 0.026, 0.303)
Ir (0.704, 0.724, 0.868)
H (0.261, 0.589, 0.889)
H (0.403, 0.974, 0.697)
H (0.936, 0.432, 0.695)
Ir (0.296, 0.276, 0.132)

## Properties
Total energy, eV/cell: -55.5

Y2SbOs after structural relaxation, computed with PBE.

Cell lengths 7.973, 7.973, 6.483 Å; angles 52.06, 52.06, 90.00 degrees
Element x y z (fractional)
Y (0.674, 0.125, 0.250)
Y (0.375, 0.326, 0.750)
Os (0.000, 0.000, 0.000)
Y (0.875, 0.924, 0.750)
Sb (0.500, 0.500, 0.000)
Y (0.076, 0.625, 0.250)
Os (0.750, 0.250, 0.500)
Sb (0.250, 0.750, 0.500)

## Properties
Formation energy (no corrections), eV per atom: -0.0471

Ba3CeGa2O9 after structural relaxation, computed with PBE.

Cell lengths 5.914, 5.914, 7.289 Å; angles 90.00, 90.00, 120.00 degrees
Each line ends with the local moment (μB).
Element x y z (fractional)
O (0.826, 0.652, 0.681)  0.15
O (0.174, 0.348, 0.319)  0.15
O (0.500, 0.500, 0.000)  0.29
O (0.174, 0.826, 0.319)  0.15
O (0.500, 0.000, 0.000)  0.29
Ga (0.667, 0.333, 0.837)  -0.01
O (0.000, 0.500, 0.000)  0.29
Ga (0.333, 0.667, 0.163)  -0.01
Ba (0.000, 0.000, 0.000)  -0.01
O (0.826, 0.174, 0.681)  0.15
O (0.348, 0.174, 0.681)  0.15
Ce (0.000, 0.000, 0.500)  -0.02
O (0.652, 0.826, 0.319)  0.15
Ba (0.667, 0.333, 0.317)  -0.01
Ba (0.333, 0.667, 0.683)  -0.01

## Properties
Formation energy (no corrections), eV per atom: -2.3213

KMgHg4 after structural relaxation, computed with PBE.

Cell lengths 6.249, 6.249, 6.249 Å; angles 60.00, 60.00, 60.00 degrees
Element x y z (fractional)
K (0.750, 0.750, 0.750)
Hg (0.375, 0.876, 0.375)
Hg (0.375, 0.375, 0.375)
Hg (0.375, 0.375, 0.876)
Hg (0.876, 0.375, 0.375)
Mg (0.000, 0.000, 0.000)

## Properties
Formation enthalpy at 0 K, kJ/mol of formula units: -29
Energy relative to the lowest polymorph listed for this composition, kJ/mol of atoms: 11.61

TlFePtSe2 after structural relaxation, computed with PBE.

Cell lengths 4.719, 4.971, 4.719 Å; angles 90.00, 90.00, 90.00 degrees
Each line ends with the local moment (μB).
Element x y z (fractional)
Tl (0.500, 0.500, 0.500)  0.01
Pt (0.000, 0.500, 0.000)  0.22
Fe (0.000, 0.000, 0.000)  2.43
Se (0.500, 0.000, 0.000)  0.13
Se (0.000, 0.000, 0.500)  0.04

## Properties
Formation energy (no corrections), eV per atom: 0.2476

SrRuOF2 after structural relaxation, computed with PBE.

Cell lengths 4.372, 4.372, 3.965 Å; angles 90.00, 90.00, 90.00 degrees
Each line ends with the local moment (μB).
Element x y z (fractional)
Ru (0.000, 0.000, 0.000)  1.34
O (0.000, 0.000, 0.500)  0.19
Sr (0.500, 0.500, 0.500)  0.00
F (0.000, 0.500, 0.000)  0.01
F (0.500, 0.000, 0.000)  0.01

## Properties
Energy relative to the lowest polymorph listed for this composition, kJ/mol of atoms: 0.00
Formation energy (no corrections), eV per atom: -1.7866

Nd3DyTl2 after structural relaxation, computed with PBE.

Cell lengths 5.240, 6.872, 10.321 Å; angles 90.00, 90.00, 90.00 degrees
Element x y z (fractional)
Nd (0.000, 0.816, 0.679)
Dy (0.500, 0.544, 0.540)
Nd (0.000, 0.316, 0.321)
Tl (0.000, 0.296, 0.635)
Nd (0.000, 0.451, 0.960)
Dy (0.500, 0.044, 0.460)
Nd (0.000, 0.951, 0.040)
Tl (0.500, 0.707, 0.862)
Nd (0.500, 0.185, 0.812)
Tl (0.000, 0.796, 0.365)
Tl (0.500, 0.207, 0.138)
Nd (0.500, 0.685, 0.188)

## Properties
Formation enthalpy at 0 K, kJ/mol of formula units: -156
Energy relative to the lowest polymorph listed for this composition, kJ/mol of atoms: 0.00

YLuSe3 after structural relaxation, computed with PBE.

Cell lengths 4.036, 5.636, 7.207 Å; angles 66.98, 73.74, 90.00 degrees
Element x y z (fractional)
Y (0.029, 0.897, 0.961)
Se (0.367, 0.735, 0.286)
Se (0.689, 0.057, 0.642)
Se (0.057, 0.425, 0.906)
Lu (0.710, 0.579, 0.599)

## Properties
Energy relative to the lowest polymorph listed for this composition, kJ/mol of atoms: 1.87
Formation energy (no corrections), eV per atom: -1.8607

AcPmNd2Y5 after structural relaxation, computed with PBE.

Cell lengths 8.869, 8.869, 10.120 Å; angles 115.99, 115.99, 90.00 degrees
Element x y z (fractional)
Pm (0.750, 0.750, 0.500)
Nd (0.115, 0.385, 0.000)
Ac (0.250, 0.750, 0.500)
Y (0.079, 0.579, 0.734)
Nd (0.615, 0.115, 0.000)
Y (0.155, 0.079, 0.734)
Y (0.345, 0.845, 0.266)
Ac (0.750, 0.250, 0.500)
Y (0.845, 0.921, 0.266)
Y (0.500, 0.500, 0.000)
Nd (0.385, 0.885, 0.000)
Y (0.421, 0.345, 0.266)
Y (0.921, 0.421, 0.266)
Pm (0.250, 0.250, 0.500)
Y (0.000, 0.000, 0.000)
Y (0.579, 0.655, 0.734)
Nd (0.885, 0.615, 0.000)
Y (0.655, 0.155, 0.734)

## Properties
Formation enthalpy at 0 K, kJ/mol of formula units: 217

NaAgS2O8 after structural relaxation, computed with PBE.

Cell lengths 4.929, 4.929, 8.412 Å; angles 72.96, 72.96, 60.00 degrees
Each line ends with the local moment (μB).
Element x y z (fractional)
O (0.061, 0.764, 0.687)  0.16
O (0.688, 0.688, 0.935)  0.14
O (0.488, 0.061, 0.687)  0.16
Ag (0.500, 0.500, 0.500)  0.50
O (0.764, 0.488, 0.687)  0.16
O (0.312, 0.312, 0.065)  0.14
O (0.236, 0.939, 0.313)  0.16
Na (0.000, 0.000, 0.000)  0.00
S (0.751, 0.751, 0.748)  -0.01
O (0.512, 0.236, 0.313)  0.16
S (0.249, 0.249, 0.252)  -0.01
O (0.939, 0.512, 0.313)  0.16

## Properties
Formation energy (no corrections), eV per atom: -1.0895